No. 1
# PBE CePu2Pa3P6, relaxed
# magnetization = 10.9 μB per formula unit
# energy of formation from the pure elements = -1.312 eV per atom
data_CePu2Pa3P6
_symmetry_space_group_name_H-M 'C 1 2/m 1'
_symmetry_Int_Tables_number 12
_cell_length_a 6.921
_cell_length_b 11.989
_cell_length_c 6.928
_cell_angle_alpha 90.00
_cell_angle_beta 109.47
_cell_angle_gamma 90.00
loop_
_symmetry_equiv_pos_as_xyz
'x,y,z'
'-x,-y,-z'
'-x,y,-z'
'x,-y,z'
'x+1/2,y+1/2,z'
'-x+1/2,-y+1/2,-z'
'-x+1/2,y+1/2,-z'
'x+1/2,-y+1/2,z'
loop_
_atom_site_label
_atom_site_type_symbol
_atom_site_fract_x
_atom_site_fract_y
_atom_site_fract_z
Ce1 Ce 0.000 0.000 0.000
Pu1 Pu 0.000 0.333 0.000
Pa1 Pa 0.000 0.166 0.500
Pa2 Pa 0.000 0.500 0.500
P1 P 0.246 0.332 0.745
P2 P 0.248 0.500 0.254

No. 2
# PBE CeMnNi, relaxed
# magnetization = 0.0 μB per formula unit
# energy of formation from the pure elements = 0.107 eV per atom
# offset from the most stable computed form = 0.123 eV/atom
data_CeMnNi
_symmetry_space_group_name_H-M 'F d d d'
_symmetry_Int_Tables_number 70
_cell_length_a 4.638
_cell_length_b 12.626
_cell_length_c 13.580
_cell_angle_alpha 90.00
_cell_angle_beta 90.00
_cell_angle_gamma 90.00
loop_
_symmetry_equiv_pos_as_xyz
'x,y,z'
'-x,-y,-z'
'-x+1/4,-y+1/4,z'
'x+1/4,y+1/4,-z'
'x,-y+1/4,-z+1/4'
'-x,y+1/4,z+1/4'
'-x+1/4,y,-z+1/4'
'x+1/4,-y,z+1/4'
'x,y+1/2,z+1/2'
'-x,-y+1/2,-z+1/2'
'-x+1/4,-y+3/4,z+1/2'
'x+1/4,y+3/4,-z+1/2'
'x,-y+3/4,-z+3/4'
'-x,y+3/4,z+3/4'
'-x+1/4,y+1/2,-z+3/4'
'x+1/4,-y+1/2,z+3/4'
'x+1/2,y,z+1/2'
'-x+1/2,-y,-z+1/2'
'-x+3/4,-y+1/4,z+1/2'
'x+3/4,y+1/4,-z+1/2'
'x+1/2,-y+1/4,-z+3/4'
'-x+1/2,y+1/4,z+3/4'
'-x+3/4,y,-z+3/4'
'x+3/4,-y,z+3/4'
'x+1/2,y+1/2,z'
'-x+1/2,-y+1/2,-z'
'-x+3/4,-y+3/4,z'
'x+3/4,y+3/4,-z'
'x+1/2,-y+3/4,-z+1/4'
'-x+1/2,y+3/4,z+1/4'
'-x+3/4,y+1/2,-z+1/4'
'x+3/4,-y+1/2,z+1/4'
loop_
_atom_site_label
_atom_site_type_symbol
_atom_site_fract_x
_atom_site_fract_y
_atom_site_fract_z
Ce1 Ce 0.000 0.000 0.000
Mn1 Mn 0.125 0.125 0.535
Ni1 Ni 0.125 0.310 0.625

No. 3
# PBE SrMg4Rh, relaxed
# magnetization = 0.0 μB per formula unit
# energy of formation from the pure elements = 0.062 eV per atom
# offset from the most stable computed form = 0.334 eV/atom
data_SrMg4Rh
_symmetry_space_group_name_H-M 'F -4 3 m'
_symmetry_Int_Tables_number 216
_symmetry_space_group_name_Hall 'F -4 2 3'
_cell_length_a 8.194
_cell_length_b 8.194
_cell_length_c 8.194
_cell_angle_alpha 90.00
_cell_angle_beta 90.00
_cell_angle_gamma 90.00
loop_
_atom_site_label
_atom_site_type_symbol
_atom_site_fract_x
_atom_site_fract_y
_atom_site_fract_z
Sr1 Sr 0.000 0.000 0.000
Mg1 Mg 0.123 0.123 0.623
Rh1 Rh 0.250 0.250 0.250

No. 4
# PBE YCd3Pd, relaxed
# magnetization = 0.0 μB per formula unit
# energy of formation from the pure elements = 1.015 eV per atom
# offset from the most stable computed form = 1.392 eV/atom
data_YCd3Pd
_symmetry_space_group_name_H-M 'P m -3 m'
_symmetry_Int_Tables_number 221
_symmetry_space_group_name_Hall '-P 4 2 3'
_cell_length_a 5.788
_cell_length_b 5.788
_cell_length_c 5.788
_cell_angle_alpha 90.00
_cell_angle_beta 90.00
_cell_angle_gamma 90.00
loop_
_atom_site_label
_atom_site_type_symbol
_atom_site_fract_x
_atom_site_fract_y
_atom_site_fract_z
Y1 Y 0.000 0.000 0.000
Cd1 Cd 0.000 0.000 0.500
Pd1 Pd 0.500 0.500 0.500

No. 5
# PBE Hf3Cu3Pd2, relaxed
# magnetization = 0.0 μB per formula unit
# energy of formation from the pure elements = -0.311 eV per atom
data_Hf3Cu3Pd2
_symmetry_space_group_name_H-M 'P -6 2 m'
_symmetry_Int_Tables_number 189
_symmetry_space_group_name_Hall 'P -6 -2'
_cell_length_a 6.7961
_cell_length_b 6.7961
_cell_length_c 3.4385
_cell_angle_alpha 90.00
_cell_angle_beta 90.00
_cell_angle_gamma 120.00
loop_
_atom_site_label
_atom_site_type_symbol
_atom_site_fract_x
_atom_site_fract_y
_atom_site_fract_z
Hf1 Hf 0.0000 0.3826 0.0000
Cu1 Cu 0.0000 0.7773 0.5000
Pd1 Pd 0.3333 0.6667 0.5000

No. 6
# PBE TaPdSN2, relaxed
# magnetization = 0.9 μB per formula unit
# offset from the most stable computed form = 0.000 eV/atom
# formation energy (no corrections) = 174 kJ/mol of formula units
data_TaPdSN2
_symmetry_space_group_name_H-M 'P 4/m m m'
_symmetry_Int_Tables_number 123
_symmetry_space_group_name_Hall '-P 4 2'
_cell_length_a 3.949
_cell_length_b 3.949
_cell_length_c 5.171
_cell_angle_alpha 90.00
_cell_angle_beta 90.00
_cell_angle_gamma 90.00
loop_
_atom_site_label
_atom_site_type_symbol
_atom_site_fract_x
_atom_site_fract_y
_atom_site_fract_z
Ta1 Ta 0.000 0.000 0.000
Pd1 Pd 0.500 0.500 0.500
S1 S 0.000 0.000 0.500
N1 N 0.000 0.500 0.000

No. 7
# PBE ScRePd3, relaxed
# magnetization = 0.0 μB per formula unit
# energy of formation from the pure elements = 0.763 eV per atom
# offset from the most stable computed form = 0.000 eV/atom
data_ScRePd3
_symmetry_space_group_name_H-M 'P m -3 m'
_symmetry_Int_Tables_number 221
_symmetry_space_group_name_Hall '-P 4 2 3'
_cell_length_a 4.797
_cell_length_b 4.797
_cell_length_c 4.797
_cell_angle_alpha 90.00
_cell_angle_beta 90.00
_cell_angle_gamma 90.00
loop_
_atom_site_label
_atom_site_type_symbol
_atom_site_fract_x
_atom_site_fract_y
_atom_site_fract_z
Sc1 Sc 0.000 0.000 0.000
Re1 Re 0.500 0.500 0.500
Pd1 Pd 0.000 0.500 0.500

No. 8
# PBE Cs2KNaBi, relaxed
# magnetization = 1.0 μB per formula unit
# energy of formation from the pure elements = -0.069 eV per atom
# offset from the most stable computed form = 0.042 eV/atom
data_Cs2KNaBi
_symmetry_space_group_name_H-M 'P 4/m m m'
_symmetry_Int_Tables_number 123
_symmetry_space_group_name_Hall '-P 4 2'
_cell_length_a 7.568
_cell_length_b 7.568
_cell_length_c 6.977
_cell_angle_alpha 90.00
_cell_angle_beta 90.00
_cell_angle_gamma 90.00
loop_
_atom_site_label
_atom_site_type_symbol
_atom_site_fract_x
_atom_site_fract_y
_atom_site_fract_z
Cs1 Cs 0.000 0.500 0.000
K1 K 0.000 0.000 0.500
Na1 Na 0.500 0.500 0.500
Bi1 Bi 0.000 0.000 0.000

No. 9
# PBE LiNpSnPt, relaxed
# magnetization = 4.0 μB per formula unit
# energy of formation from the pure elements = -0.434 eV per atom
data_LiNpSnPt
_symmetry_space_group_name_H-M 'F -4 3 m'
_symmetry_Int_Tables_number 216
_symmetry_space_group_name_Hall 'F -4 2 3'
_cell_length_a 6.793
_cell_length_b 6.793
_cell_length_c 6.793
_cell_angle_alpha 90.00
_cell_angle_beta 90.00
_cell_angle_gamma 90.00
loop_
_atom_site_label
_atom_site_type_symbol
_atom_site_fract_x
_atom_site_fract_y
_atom_site_fract_z
Li1 Li 0.000 0.000 0.000
Np1 Np 0.250 0.250 0.250
Sn1 Sn 0.250 0.250 0.750
Pt1 Pt 0.000 0.000 0.500

No. 10
# PBE NiGe, relaxed
# magnetization = 0.0 μB per formula unit
# energy of formation from the pure elements = -0.066 eV per atom
data_NiGe
_symmetry_space_group_name_H-M 'P m -3 m'
_symmetry_Int_Tables_number 221
_symmetry_space_group_name_Hall '-P 4 2 3'
_cell_length_a 2.975
_cell_length_b 2.975
_cell_length_c 2.975
_cell_angle_alpha 90.00
_cell_angle_beta 90.00
_cell_angle_gamma 90.00
loop_
_atom_site_label
_atom_site_type_symbol
_atom_site_fract_x
_atom_site_fract_y
_atom_site_fract_z
Ni1 Ni 0.000 0.000 0.000
Ge1 Ge 0.500 0.500 0.500

No. 11
# PBE ZrAg2Hg, relaxed
# magnetization = 0.0 μB per formula unit
# energy of formation from the pure elements = 0.124 eV per atom
data_ZrAg2Hg
_symmetry_space_group_name_H-M 'C 1 2/m 1'
_symmetry_Int_Tables_number 12
_cell_length_a 5.980
_cell_length_b 10.371
_cell_length_c 2.939
_cell_angle_alpha 90.00
_cell_angle_beta 115.87
_cell_angle_gamma 90.00
loop_
_symmetry_equiv_pos_as_xyz
'x,y,z'
'-x,-y,-z'
'-x,y,-z'
'x,-y,z'
'x+1/2,y+1/2,z'
'-x+1/2,-y+1/2,-z'
'-x+1/2,y+1/2,-z'
'x+1/2,-y+1/2,z'
loop_
_atom_site_label
_atom_site_type_symbol
_atom_site_fract_x
_atom_site_fract_y
_atom_site_fract_z
Zr1 Zr 0.000 0.000 0.000
Ag1 Ag 0.250 0.250 0.500
Hg1 Hg 0.000 0.500 0.000

No. 12
# PBE RbCdPbCl6, relaxed
# magnetization = 0.4 μB per formula unit
# formation energy (no corrections) = -1014 kJ/mol of formula units
data_RbCdPbCl6
_symmetry_space_group_name_H-M 'P -3 1 c'
_symmetry_Int_Tables_number 163
_symmetry_space_group_name_Hall '-P 3 2c'
_cell_length_a 7.0604
_cell_length_b 7.0604
_cell_length_c 14.4564
_cell_angle_alpha 90.00
_cell_angle_beta 90.00
_cell_angle_gamma 120.00
loop_
_atom_site_label
_atom_site_type_symbol
_atom_site_fract_x
_atom_site_fract_y
_atom_site_fract_z
Rb1 Rb 0.0000 0.0000 0.0000
Cd1 Cd 0.3333 0.6667 0.2500
Pb1 Pb 0.3333 0.6667 0.7500
Cl1 Cl 0.0084 0.3812 0.1419